8
Lattice="-1.3630 4.2658 -0.7860 -4.4377 0.9648 -0.2187 -2.0249 3.4147 8.8935" Properties=species:S:1:pos:R:3 comment="BaZn4Ga2Si (PBE, relaxed)" magnetic_moment_mub_per_cell=0.00 crystal_system=trigonal raw_formation_energy_ev_per_atom=-0.027 pbc="T T T"
Ba 0.0000 0.0000 0.0000
Zn -3.9372 4.7685 6.4063
Zn -5.8385 5.9231 2.8193
Zn -1.9871 2.7222 5.0696
Zn -3.8884 3.8768 1.4826
Ga -5.8667 6.4378 5.6618
Ga -1.9589 2.2075 2.2270
Si -3.9128 4.3226 3.9444